1.
The following is a GGA-PBE calculation of a relaxed structure of GaSbPd4, from the Alexandria database.

Output
E_form (uncorrected) (meV per atom): -517.7

Lattice parameters (Å, degrees): 6.9003 3.6297 15.9998 90.00 90.00 90.00
Closest atoms and distances in Å follow each position.
Element x y z (fractional)
Ga (0.2290, 0.2500, 0.1949)  7 Pd 2.47-2.69
Ga (0.2710, 0.7500, 0.6949)  7 Pd 2.47-2.69
Ga (0.7290, 0.2500, 0.3051)  7 Pd 2.47-2.69
Ga (0.7710, 0.7500, 0.8051)  7 Pd 2.47-2.69
Sb (0.2246, 0.7500, 0.4451)  9 Pd 2.66-2.89
Sb (0.2754, 0.2500, 0.9451)  9 Pd 2.66-2.89
Sb (0.7246, 0.7500, 0.0549)  9 Pd 2.66-2.89
Sb (0.7754, 0.2500, 0.5549)  9 Pd 2.66-2.89
Pd (0.0047, 0.2500, 0.0708)  1 Ga 2.52, 3 Sb 2.66-2.75
Pd (0.0762, 0.2500, 0.7865)  4 Ga 2.69-2.80, 1 Sb 2.89, 4 Pd 2.92-2.97
Pd (0.0912, 0.2500, 0.3373)  2 Ga 2.47-2.55, 2 Sb 2.67
Pd (0.1681, 0.2500, 0.5789)  2 Ga 2.69, 3 Sb 2.74-2.83, 4 Pd 2.88-2.90
Pd (0.3319, 0.7500, 0.0789)  2 Ga 2.69, 3 Sb 2.74-2.83, 4 Pd 2.88-2.90
Pd (0.4088, 0.7500, 0.8373)  2 Ga 2.47-2.55, 2 Sb 2.67
Pd (0.4238, 0.7500, 0.2865)  4 Ga 2.69-2.80, 1 Sb 2.89, 4 Pd 2.92-2.97
Pd (0.4953, 0.7500, 0.5708)  1 Ga 2.52, 3 Sb 2.66-2.75
Pd (0.5047, 0.2500, 0.4292)  1 Ga 2.52, 3 Sb 2.66-2.75
Pd (0.5762, 0.2500, 0.7135)  4 Ga 2.69-2.80, 1 Sb 2.89, 4 Pd 2.92-2.97
Pd (0.5912, 0.2500, 0.1627)  2 Ga 2.47-2.55, 2 Sb 2.67
Pd (0.6681, 0.2500, 0.9211)  2 Ga 2.69, 3 Sb 2.74-2.83, 4 Pd 2.88-2.90
Pd (0.8319, 0.7500, 0.4211)  2 Ga 2.69, 3 Sb 2.74-2.83, 4 Pd 2.88-2.90
Pd (0.9088, 0.7500, 0.6627)  2 Ga 2.47-2.55, 2 Sb 2.67
Pd (0.9238, 0.7500, 0.2135)  4 Ga 2.69-2.80, 1 Sb 2.89, 4 Pd 2.92-2.97
Pd (0.9953, 0.7500, 0.9292)  1 Ga 2.52, 3 Sb 2.66-2.75


2.
The following is a GGA-PBE calculation of a relaxed structure of KRb2AgAu, from the Alexandria database.

Output
Calculated formation energy (eV per atom): 0.0351

Lattice parameters (Å, degrees): 6.5790 6.5790 6.3061 90.00 90.00 90.00
Closest atoms and distances in Å follow each position.
Element x y z (fractional)
K (0.0000, 0.0000, 0.0000)  2 Au 3.15
Rb (0.0000, 0.5000, 0.5000)  2 Au 3.29
Rb (0.5000, 0.0000, 0.5000)  2 Au 3.29
Ag (0.5000, 0.5000, 0.0000)  8 Rb 4.56, 4 K 4.65
Au (0.0000, 0.0000, 0.5000)  2 K 3.15, 4 Rb 3.29


3.
The following is a GGA-PBE calculation of a relaxed structure of Sm8CdNi2, from the Alexandria database.

Output
Calculated formation energy (eV per atom): -0.0911

Lattice parameters (Å, degrees): 8.0680 8.0680 5.5286 97.51 97.51 115.56
Closest atoms and distances in Å follow each position.
Element x y z (fractional)
Sm (0.0791, 0.3338, 0.5734)  2 Ni 2.83-2.92
Sm (0.2477, 0.7523, 0.0000)  2 Ni 2.85
Sm (0.3338, 0.0791, 0.5734)  2 Ni 2.83-2.92
Sm (0.3929, 0.3929, 0.1954)  4 Sm 3.16-3.42, 2 Ni 3.22, 1 Cd 3.29
Sm (0.6071, 0.6071, 0.8046)  4 Sm 3.16-3.42, 2 Ni 3.22, 1 Cd 3.29
Sm (0.6662, 0.9209, 0.4266)  2 Ni 2.83-2.92
Sm (0.7523, 0.2477, 0.0000)  2 Ni 2.85
Sm (0.9209, 0.6662, 0.4266)  2 Ni 2.83-2.92
Cd (0.0000, 0.0000, 0.0000)  8 Sm 3.29-3.67
Ni (0.2999, 0.7001, 0.5000)  6 Sm 2.83-2.92
Ni (0.7001, 0.2999, 0.5000)  6 Sm 2.83-2.92


no.,electronic total energy (eV per atom)
1,-5.171
2,-1.797
3,-4.658